[1]
Computed, not measured: a relaxed structure of NdReB4 at the PBE level of DFT.

a = 3.1805 Å, b = 5.4722 Å, c = 7.4122 Å
α = 90.00°, β = 90.00°, γ = 90.00°
Space group Immm (No. 71)
One atom of each set of equivalent atoms:
Nd  0.0000  0.0000  0.0000 (multiplicity 2)
Re  0.0000  0.0000  0.5000 (multiplicity 2)
B  0.0000  0.3382  0.2449 (multiplicity 8)

total moment	0.00	μB/atom
ΔH_f (0 K)	-0.5	kJ per mole of atoms
crystal system	orthorhombic

---

[2]
Computed, not measured: a relaxed structure of Li2LaGa2Au2 at the PBE level of DFT.

a = 7.8592 Å, b = 4.5230 Å, c = 8.1259 Å
α = 90.00°, β = 108.49°, γ = 90.00°
Space group C2/m (No. 12)
One atom of each set of equivalent atoms:
Li  0.1403  0.0000  0.4239 (multiplicity 4)
La  0.0000  0.0000  0.0000 (multiplicity 2)
Ga  0.0635  0.5000  0.6894 (multiplicity 4)
Au  0.2468  0.5000  0.2422 (multiplicity 4)

total moment	0.00	μB/atom
ΔH_f (0 K)	-58.9	kJ per mole of atoms
crystal system	monoclinic

---

[3]
Computed, not measured: a relaxed structure of NbInFe3 at the PBE level of DFT.

a = 4.5689 Å, b = 4.5689 Å, c = 4.5689 Å
α = 90.00°, β = 90.00°, γ = 90.00°
Space group Pm-3m (No. 221)
One atom of each set of equivalent atoms:
Nb  0.0000  0.0000  0.0000 (multiplicity 1)
In  0.5000  0.5000  0.5000 (multiplicity 1)
Fe  0.0000  0.0000  0.5000 (multiplicity 3)

total moment	0.98	μB/atom
ΔH_f (0 K)	125.0	kJ per mole of atoms
crystal system	cubic

---

[4]
Computed, not measured: a relaxed structure of BaLiIn3 at the PBE level of DFT.

a = 6.3956 Å, b = 6.3956 Å, c = 6.3956 Å
α = 90.00°, β = 90.00°, γ = 90.00°
Space group Pm-3m (No. 221)
One atom of each set of equivalent atoms:
Ba  0.0000  0.0000  0.0000 (multiplicity 1)
Li  0.5000  0.5000  0.5000 (multiplicity 1)
In  0.0000  0.0000  0.5000 (multiplicity 3)

total moment	0.00	μB/atom
ΔH_f (0 K)	68.4	kJ per mole of atoms
crystal system	cubic

---

[5]
Computed, not measured: a relaxed structure of CuPb2W at the PBE level of DFT.

a = 9.8273 Å, b = 3.0508 Å, c = 5.6137 Å
α = 90.00°, β = 95.70°, γ = 90.00°
Space group C2/m (No. 12)
One atom of each set of equivalent atoms:
Cu  0.0000  0.0000  0.0000 (multiplicity 2)
Pb  0.2417  0.0000  0.7475 (multiplicity 4)
W  0.0000  0.5000  0.5000 (multiplicity 2)

total moment	0.00	μB/atom
ΔH_f (0 K)	91.2	kJ per mole of atoms
crystal system	monoclinic

---

[6]
Computed, not measured: a relaxed structure of Ba6LiAu3 at the PBE level of DFT.

a = 12.8159 Å, b = 4.7657 Å, c = 15.3556 Å
α = 90.00°, β = 112.32°, γ = 90.00°
Space group P2_1/m (No. 11)
One atom of each set of equivalent atoms:
Ba  0.0157  0.2500  0.3952 (multiplicity 2)
Ba  0.0578  0.2500  0.9072 (multiplicity 2)
Ba  0.2355  0.7500  0.3151 (multiplicity 2)
Ba  0.3356  0.7500  0.8050 (multiplicity 2)
Ba  0.3380  0.7500  0.0857 (multiplicity 2)
Ba  0.3841  0.2500  0.5692 (multiplicity 2)
Li  0.4079  0.2500  0.2719 (multiplicity 2)
Au  0.1693  0.2500  0.1471 (multiplicity 2)
Au  0.1910  0.7500  0.5260 (multiplicity 2)
Au  0.4240  0.2500  0.9725 (multiplicity 2)

total moment	0.00	μB/atom
ΔH_f (0 K)	-39.4	kJ per mole of atoms
crystal system	monoclinic